[1]
Dy15Er2Mg2 | the Alexandria database | PBE-GGA | relaxed; V = 607.0 Å³/cell; M_tot = 0.00 μB per formula unit; space-group type = No. 166; DOS(E_F) = 21.8 states/eV/f.u.; DFT total energy = -76.796 eV/cell
1.0
5.5518 3.2053 5.6850
-5.5518 3.2053 5.6850
0.0000 -6.4106 5.6850
Dy Er Mg
15 2 2
Cartesian
-5.5518 0.0000 8.5275 Dy
-1.6552 -3.5437 5.6850 Dy
-2.7759 1.6027 2.8425 Dy
-3.8966 0.3384 5.6850 Dy
-2.7078 -1.5634 8.0965 Dy
1.6552 -3.5437 5.6850 Dy
-2.2413 3.2053 5.6850 Dy
0.0000 -3.1267 8.9585 Dy
-2.7078 1.5634 8.9585 Dy
2.7759 1.6027 2.8425 Dy
2.7078 -1.5634 8.0965 Dy
0.0000 3.1267 8.0965 Dy
3.8965 0.3384 5.6850 Dy
2.2413 3.2053 5.6850 Dy
2.7078 1.5634 8.9586 Dy
0.0000 0.0000 5.5342 Er
0.0000 0.0000 11.5208 Er
0.0000 0.0000 1.5878 Mg
0.0000 0.0000 15.4673 Mg

[2]
AcAgRu2O7 | the Alexandria database | PBE-GGA | relaxed; V = 160.0 Å³/cell; M_tot = 5.02 μB per formula unit; uncorrected formation energy = -14.4 eV/f.u.; space-group type = No. 119; DOS(E_F) = 3.3 states/eV/f.u.
1.0
-1.9611 1.9611 10.3986
1.9611 -1.9611 10.3986
1.9611 1.9611 -10.3986
Ac Ag Ru O
1 1 2 7
Cartesian
0.0000 0.0000 0.0000 Ac
0.0000 1.9611 5.1993 Ag
0.0000 0.0000 8.2161 Ru
0.0000 0.0000 12.5812 Ru
1.9611 0.0000 1.8310 O
0.0000 0.0000 6.3921 O
1.9611 0.0000 8.5676 O
0.0000 0.0000 10.3986 O
0.0000 1.9611 1.8675 O
0.0000 0.0000 14.4052 O
0.0000 1.9611 8.5312 O

[3]
AgBi2Au | the Alexandria database | PBE-GGA | relaxed; V = 97.7 Å³/cell; M_tot = 0.00 μB per formula unit; space-group type = No. 123; energy above the lowest structure with this stoichiometry = 0.17 eV/f.u.; DOS(E_F) = 1.2 states/eV/f.u.
1.0
3.6498 0.0000 0.0000
0.0000 3.6498 0.0000
0.0000 0.0000 7.3370
Ag Bi Au
1 2 1
Cartesian
0.0000 0.0000 0.0000 Ag
1.8249 1.8249 1.8610 Bi
1.8249 1.8249 5.4760 Bi
0.0000 0.0000 3.6685 Au

[4]
PdF | the Alexandria database | PBE-GGA | relaxed; V = 27.6 Å³/cell; M_tot = 0.00 μB per formula unit; uncorrected formation energy = -1.4 eV/f.u.; space-group type = No. 6; energy above the lowest structure with this stoichiometry = 0.00 eV/f.u.; DOS(E_F) = 0.8 states/eV/f.u.
1.0
2.8186 0.0000 0.0000
0.0000 4.0091 0.0000
-1.4079 0.0000 2.4461
Pd F
1 1
Cartesian
0.0000 0.0000 0.0000 Pd
0.0449 2.0046 0.2300 F

[5]
KSc2Fe | the Alexandria database | PBE-GGA | relaxed; V = 112.9 Å³/cell; M_tot = 0.00 μB per formula unit; space-group type = No. 6; energy above the lowest structure with this stoichiometry = 0.94 eV/f.u.; DOS(E_F) = 4.0 states/eV/f.u.
1.0
3.9144 0.0000 0.0000
0.0000 3.3671 0.0000
-1.9548 0.0000 8.5623
K Sc Fe
1 2 1
Cartesian
0.0000 0.0000 0.0000 K
0.0080 1.6836 5.3055 Sc
1.9651 0.0000 3.3105 Sc
0.0079 1.6836 3.0805 Fe

[6]
Ca3AsPd3 | the Alexandria database | PBE-GGA | relaxed; V = 319.1 Å³/cell; M_tot = 0.00 μB per formula unit; space-group type = No. 12; DOS(E_F) = 3.0 states/eV/f.u.; DFT total energy = -62.976 eV/cell
1.0
5.2877 -2.0828 0.0000
5.2877 2.0828 0.0000
-4.6260 0.0000 14.4870
Ca As Pd
6 2 6
Cartesian
-1.6112 0.0000 5.5579 Ca
-3.1532 0.0000 13.4129 Ca
1.4927 0.0000 3.2616 Ca
4.4567 0.0000 11.2254 Ca
9.1027 0.0000 1.0741 Ca
7.5607 0.0000 8.9291 Ca
-0.0277 0.0000 9.0041 As
5.9772 0.0000 5.4829 As
1.2797 0.0000 6.7696 Pd
-0.1562 0.0000 13.3887 Pd
1.3979 0.0000 11.1175 Pd
4.5515 0.0000 3.3696 Pd
6.1056 0.0000 1.0984 Pd
4.6697 0.0000 7.7174 Pd

[7]
BaTi4Te8 | the Alexandria database | PBE-GGA | relaxed; V = 443.5 Å³/cell; M_tot = 1.22 μB per formula unit; uncorrected formation energy = -11.0 eV/f.u.; space-group type = No. 166; DOS(E_F) = 9.0 states/eV/f.u.
1.0
3.8508 2.2233 8.6337
-3.8508 2.2233 8.6337
0.0000 -4.4466 8.6337
Ba Ti Te
1 4 8
Cartesian
0.0000 0.0000 0.0000 Ba
-3.8508 0.0000 12.9505 Ti
-1.9254 1.1116 4.3168 Ti
1.9254 1.1116 4.3168 Ti
0.0000 0.0000 12.9505 Ti
0.0000 0.0000 6.0110 Te
-1.8971 -1.0953 14.6462 Te
0.0000 -2.1906 11.2549 Te
-1.8971 1.0953 11.2549 Te
1.8971 -1.0953 14.6462 Te
0.0000 2.1906 14.6462 Te
1.8971 1.0953 11.2548 Te
0.0000 0.0000 19.8901 Te

[8]
CuAg2Bi | the Alexandria database | PBE-GGA | relaxed; V = 82.5 Å³/cell; M_tot = 0.00 μB per formula unit; space-group type = No. 166; DOS(E_F) = 1.4 states/eV/f.u.; DFT total energy = -12.797 eV/cell
1.0
2.2520 1.3002 4.6987
-2.2520 1.3002 4.6987
0.0000 -2.6004 4.6987
Cu Ag Bi
1 2 1
Cartesian
0.0000 0.0000 0.0000 Cu
0.0000 0.0000 3.9450 Ag
0.0000 0.0000 10.1512 Ag
0.0000 0.0000 7.0481 Bi

[9]
Pr2MgRh2 | the Alexandria database | PBE-GGA | relaxed; V = 230.8 Å³/cell; M_tot = 0.00 μB per formula unit; space-group type = No. 15; DOS(E_F) = 2.9 states/eV/f.u.; DFT total energy = -57.702 eV/cell
1.0
5.2392 -2.8316 0.0000
5.2392 2.8316 0.0000
-2.4329 0.0000 7.7794
Pr Mg Rh
4 2 4
Cartesian
1.1808 0.8314 1.1629 Pr
-0.0356 -0.8314 5.0526 Pr
8.0810 0.8314 2.7268 Pr
6.8646 -0.8314 6.6165 Pr
4.6309 0.7280 1.9449 Mg
3.4145 -0.7280 5.8346 Mg
2.6305 0.8280 3.7723 Rh
6.6314 0.8280 0.1174 Rh
1.4141 -0.8280 7.6620 Rh
5.4149 -0.8280 4.0071 Rh

[10]
LaRh2Br | the Alexandria database | PBE-GGA | relaxed; V = 79.4 Å³/cell; M_tot = 0.00 μB per formula unit; uncorrected formation energy = -1.1 eV/f.u.; space-group type = No. 44; energy above the lowest structure with this stoichiometry = 0.85 eV/f.u.; DOS(E_F) = 1.2 states/eV/f.u.
1.0
-2.0368 2.0442 4.7645
2.0368 -2.0442 4.7645
2.0368 2.0442 -4.7645
La Rh Br
1 2 1
Cartesian
0.0000 0.0000 0.0000 La
2.0368 0.0000 2.3892 Rh
0.0000 0.0000 4.7647 Rh
0.0000 2.0442 2.3812 Br

[11]
Mn2FeRh | the Alexandria database | PBE-GGA | relaxed; V = 50.6 Å³/cell; M_tot = 7.09 μB per formula unit; space-group type = No. 225; energy above the lowest structure with this stoichiometry = 0.43 eV/f.u.; DOS(E_F) = 3.9 states/eV/f.u.
1.0
0.0000 2.9365 2.9365
2.9365 0.0000 2.9365
2.9365 2.9365 0.0000
Mn Fe Rh
2 1 1
Cartesian
1.4682 1.4682 1.4682 Mn
4.4047 4.4047 4.4047 Mn
0.0000 0.0000 0.0000 Fe
2.9365 2.9365 2.9365 Rh

[12]
Te2RhBr | the Alexandria database | PBE-GGA | relaxed; V = 118.1 Å³/cell; M_tot = 0.00 μB per formula unit; uncorrected formation energy = -1.4 eV/f.u.; space-group type = No. 156; DOS(E_F) = 0.5 states/eV/f.u.
1.0
4.1203 0.0000 0.0000
-2.0602 3.5683 0.0000
0.0000 0.0000 8.0352
Te Rh Br
2 1 1
Cartesian
0.0000 0.0000 0.0000 Te
0.0000 2.3789 2.4647 Te
2.0602 1.1894 1.0572 Rh
0.0000 0.0000 5.4294 Br

[13]
LiTlI2 | the Alexandria database | PBE-GGA | relaxed; V = 135.7 Å³/cell; M_tot = 0.00 μB per formula unit; uncorrected formation energy = -3.0 eV/f.u.; space-group type = No. 123; energy above the lowest structure with this stoichiometry = 0.73 eV/f.u.; DOS(E_F) = 0.0 states/eV/f.u.
1.0
4.0430 0.0000 0.0000
0.0000 4.0430 0.0000
0.0000 0.0000 8.3015
Li Tl I
1 1 2
Cartesian
0.0000 0.0000 0.0000 Li
0.0000 0.0000 4.1507 Tl
2.0215 2.0215 1.8971 I
2.0215 2.0215 6.4044 I

[14]
Rb3Pa3SnSe8 | the Alexandria database | PBE-GGA | relaxed; V = 509.2 Å³/cell; M_tot = 4.01 μB per formula unit; uncorrected formation energy = -18.5 eV/f.u.; space-group type = No. 166; DOS(E_F) = 17.8 states/eV/f.u.
1.0
4.2675 2.4638 8.0715
-4.2675 2.4638 8.0715
0.0000 -4.9277 8.0715
Rb Pa Sn Se
3 3 1 8
Cartesian
-2.1338 -1.2319 8.0715 Rb
-2.1338 1.2319 16.1430 Rb
0.0000 2.4638 8.0715 Rb
-4.2675 0.0000 12.1073 Pa
-2.1338 1.2319 4.0358 Pa
2.1338 1.2319 4.0358 Pa
0.0000 0.0000 12.1073 Sn
-2.2276 -1.2861 13.6836 Se
0.0000 0.0000 5.6330 Se
0.0000 -2.5722 10.5309 Se
-2.2276 1.2861 10.5309 Se
2.2276 -1.2861 13.6836 Se
0.0000 2.5722 13.6836 Se
0.0000 0.0000 18.5815 Se
2.2276 1.2861 10.5309 Se

[15]
ReTcAu2 | the Alexandria database | PBE-GGA | relaxed; V = 64.5 Å³/cell; M_tot = 0.00 μB per formula unit; space-group type = No. 10; energy above the lowest structure with this stoichiometry = 1.63 eV/f.u.; DOS(E_F) = 3.7 states/eV/f.u.
1.0
2.7982 0.0000 0.0000
0.0000 4.2693 0.0000
-0.0118 0.0000 5.3950
Re Tc Au
1 1 2
Cartesian
0.0000 0.0000 0.0000 Re
-0.0059 0.0000 2.6975 Tc
1.3953 2.1347 1.3450 Au
1.3910 2.1347 4.0500 Au

[16]
CsNi2HgCl8 | the Alexandria database | PBE-GGA | relaxed; V = 356.4 Å³/cell; M_tot = 5.00 μB per formula unit; uncorrected formation energy = -8.8 eV/f.u.; space-group type = No. 148; DOS(E_F) = 6.7 states/eV/f.u.
1.0
3.2580 1.8810 9.6938
-3.2580 1.8810 9.6938
0.0000 -3.7621 9.6938
Cs Ni Hg Cl
1 2 1 8
Cartesian
0.0000 0.0000 0.0000 Cs
0.0000 0.0000 7.1122 Ni
0.0000 0.0000 21.9691 Ni
0.0000 0.0000 14.5407 Hg
-2.2012 -0.0556 12.9228 Cl
-1.0524 -1.9341 16.1586 Cl
0.0000 0.0000 9.2833 Cl
1.1488 -1.8785 12.9228 Cl
-1.1488 1.8785 16.1586 Cl
0.0000 0.0000 19.7980 Cl
1.0524 1.9341 12.9228 Cl
2.2012 0.0556 16.1586 Cl

[17]
B2C | the Alexandria database | PBE-GGA | relaxed; V = 99.5 Å³/cell; M_tot = 0.00 μB per formula unit; space-group type = No. 164; energy above the lowest structure with this stoichiometry = 0.51 eV/f.u.; DOS(E_F) = 0.5 states/eV/f.u.
1.0
2.7079 0.0000 0.0000
-1.3539 2.3451 0.0000
0.0000 0.0000 15.6654
B C
8 4
Cartesian
0.0000 0.0000 0.8337 B
0.0000 0.0000 14.8317 B
0.0000 1.5634 1.8530 B
0.0000 1.5634 8.8734 B
0.0000 1.5634 12.1382 B
1.3539 0.7817 3.5272 B
1.3539 0.7817 6.7920 B
1.3539 0.7817 13.8124 B
0.0000 0.0000 6.9564 C
0.0000 0.0000 8.7090 C
0.0000 1.5634 3.4306 C
1.3539 0.7817 12.2348 C

[18]
Sm4Dy5Th2 | the Alexandria database | PBE-GGA | relaxed; V = 390.4 Å³/cell; M_tot = 0.00 μB per formula unit; space-group type = No. 71; energy above the lowest structure with this stoichiometry = 5.08 eV/f.u.; DOS(E_F) = 17.7 states/eV/f.u.
1.0
-1.7093 4.6188 12.3610
1.7093 -4.6188 12.3610
1.7093 4.6188 -12.3610
Sm Dy Th
4 5 2
Cartesian
0.0000 0.0000 5.9066 Sm
0.0000 2.9368 0.0000 Sm
0.0000 6.3009 0.0000 Sm
0.0000 0.0000 18.8154 Sm
1.7093 0.0000 0.0000 Dy
1.7093 -1.6393 8.4969 Dy
0.0000 2.9796 3.8642 Dy
1.7093 1.6393 8.4969 Dy
0.0000 6.2581 3.8642 Dy
0.0000 0.0000 2.6577 Th
0.0000 0.0000 22.0643 Th

[19]
Na3Pm2USe6 | the Alexandria database | PBE-GGA | relaxed; V = 326.3 Å³/cell; M_tot = 3.00 μB per formula unit; uncorrected formation energy = -18.1 eV/f.u.; space-group type = No. 12; DOS(E_F) = 6.8 states/eV/f.u.
1.0
3.6601 -6.3394 0.0000
3.6601 6.3394 0.0000
-2.4394 0.0000 7.0324
Na Pm U Se
3 2 1 6
Cartesian
0.0000 0.0000 0.0000 Na
3.6601 2.1290 0.0000 Na
3.6601 -2.1290 0.0000 Na
2.4404 4.2288 3.5162 Pm
2.4404 -4.2288 3.5162 Pm
2.4404 0.0000 3.5162 U
1.2351 2.0886 1.8603 Se
0.0309 0.0000 5.1706 Se
1.2351 -2.0886 1.8603 Se
3.6457 2.0886 5.1721 Se
4.8499 0.0000 1.8619 Se
3.6457 -2.0886 5.1721 Se

[20]
Ba2Na2Ga | the Alexandria database | PBE-GGA | relaxed; V = 386.9 Å³/cell; M_tot = 0.00 μB per formula unit; space-group type = No. 127; energy above the lowest structure with this stoichiometry = 1.04 eV/f.u.; DOS(E_F) = 6.6 states/eV/f.u.
1.0
8.1344 0.0000 0.0000
0.0000 8.1344 0.0000
0.0000 0.0000 5.8476
Ba Na Ga
4 4 2
Cartesian
1.5741 2.4931 0.0000 Ba
2.4931 6.5603 0.0000 Ba
5.6413 1.5741 0.0000 Ba
6.5603 5.6413 0.0000 Ba
1.1127 5.1799 2.9238 Na
2.9545 1.1127 2.9238 Na
5.1799 7.0217 2.9238 Na
7.0217 2.9545 2.9238 Na
0.0000 0.0000 2.9238 Ga
4.0672 4.0672 2.9238 Ga